No. 1
Density functional theory data (PBE) for a geometry-optimized HfBeIr3 structure.

a = 4.180 Å, b = 4.180 Å, c = 4.180 Å
α = 90.00°, β = 90.00°, γ = 90.00°
Space group Pm-3m (No. 221)
Inequivalent atoms, fractional coordinates:
Hf: 0.000 0.000 0.000 x1
Be: 0.500 0.500 0.500 x1
Ir: 0.000 0.500 0.500 x3

## Properties
- E above lowest polymorph: 0 meV/atom
- Spin magnetization: 0.0 μB/cell
- DOS at the Fermi energy: 2.9 states/eV/f.u.

=====

No. 2
Density functional theory data (PBE) for a geometry-optimized Ba6SbPd2Br3 structure.

a = 21.360 Å, b = 4.750 Å, c = 9.964 Å
α = 90.00°, β = 106.43°, γ = 90.00°
Space group C2/m (No. 12)
Inequivalent atoms, fractional coordinates:
Ba: 0.011 0.000 0.248 x4
Ba: 0.166 0.500 0.111 x4
Ba: 0.176 0.500 0.567 x4
Sb: 0.000 0.500 0.000 x2
Pd: 0.170 0.000 0.340 x4
Br: 0.000 0.500 0.500 x2
Br: 0.163 0.000 0.837 x4

## Properties
- Spin magnetization: 0.0 μB/cell
- DOS at the Fermi energy: 7.2 states/eV/f.u.
- E_form (uncorrected): -28.39 kcal/mol of atoms

=====

No. 3
Density functional theory data (PBE) for a geometry-optimized CeSb3S6 structure.

a = 11.541 Å, b = 3.919 Å, c = 11.882 Å
α = 90.00°, β = 102.30°, γ = 90.00°
Space group P2_1/m (No. 11)
Inequivalent atoms, fractional coordinates:
Ce: 0.184 0.250 0.028 x2
Sb: 0.033 0.750 0.294 x2
Sb: 0.340 0.250 0.421 x2
Sb: 0.406 0.750 0.843 x2
S: 0.038 0.750 0.889 x2
S: 0.122 0.250 0.442 x2
S: 0.217 0.750 0.218 x2
S: 0.260 0.250 0.798 x2
S: 0.380 0.750 0.045 x2
S: 0.386 0.750 0.563 x2

## Properties
- E above lowest polymorph: 0 meV/atom
- Spin magnetization: 1.8 μB/cell
- DOS at the Fermi energy: 6.8 states/eV/f.u.
- E_form (uncorrected): -15.96 kcal/mol of atoms

=====

- What is the DOS at the Fermi energy in the third record?
  6.8 states/eV/f.u.